Computed, not measured: a geometry-optimized LiCaZn2 structure at the GGA-PBEsol level of DFT.

Unit cell a=3.5566 b=4.2535 c=5.8916 alpha=90.00 beta=107.69 gamma=90.00
Atoms (fractional coordinates):
Ca 0.5380 0.0000 0.4489
Zn 0.9227 0.5000 0.2191
Li 0.2326 0.5000 0.8403
Zn 0.8068 0.0000 0.9917

symmetry: Pm (6)
offset from the most stable computed form: 0.060 eV per atom
total magnetic moment: 0.00 μB per cell
E: -1.93 eV per atom
E_form: -117 meV/atom


Computed, not measured: a geometry-optimized LiCaZn structure at the GGA-PBEsol level of DFT.

Unit cell a=4.8316 b=4.8316 c=4.8316 alpha=60.00 beta=60.00 gamma=60.00
Atoms (fractional coordinates):
Ca 0.0000 0.0000 0.0000
Zn 0.2500 0.2500 0.2500
Li 0.5000 0.5000 0.5000

symmetry: F-43m (216)
offset from the most stable computed form: 0.167 eV per atom
total magnetic moment: 0.00 μB per cell
E: -1.83 eV per atom
E_form: 60 meV/atom


Computed, not measured: a geometry-optimized LiCaZn2 structure at the GGA-PBEsol level of DFT.

Unit cell a=4.6066 b=4.7722 c=4.7054 alpha=120.47 beta=119.31 gamma=90.00
Atoms (fractional coordinates):
Zn 0.9972 0.9972 0.9944
Li 0.7405 0.2405 0.4810
Zn 0.2616 0.7616 0.5232
Ca 0.5007 0.5007 0.0014

symmetry: Imm2 (44)
offset from the most stable computed form: 0.043 eV per atom
total magnetic moment: 0.00 μB per cell
E: -1.95 eV per atom
E_form: -134 meV/atom


Computed, not measured: a geometry-optimized Li2Ca2Zn structure at the GGA-PBEsol level of DFT.

Unit cell a=3.7432 b=3.7432 c=9.5487 alpha=101.30 beta=101.30 gamma=90.00
Atoms (fractional coordinates):
Zn 0.0000 0.0000 0.0000
Li 0.7500 0.2500 0.5000
Ca 0.4061 0.4061 0.8122
Ca 0.5939 0.5939 0.1878
Li 0.2500 0.7500 0.5000

symmetry: I4/mmm (139)
total magnetic moment: 0.00 μB per cell
E: -1.97 eV per atom
E_form: -11 meV/atom


Computed, not measured: a geometry-optimized Li3CaZn structure at the GGA-PBEsol level of DFT.

Unit cell a=5.5007 b=5.5007 c=5.5007 alpha=90.00 beta=90.00 gamma=90.00
Atoms (fractional coordinates):
Zn 0.5000 0.5000 0.5000
Ca 0.0000 0.0000 0.0000
Li 0.5000 0.0000 0.0000
Li 0.0000 0.0000 0.5000
Li 0.0000 0.5000 0.0000

symmetry: Pm-3m (221)
offset from the most stable computed form: 0.863 eV per atom
total magnetic moment: 0.00 μB per cell
E: -1.00 eV per atom
E_form: 927 meV/atom


Computed, not measured: a geometry-optimized Li4CaZn structure at the GGA-PBEsol level of DFT.

Unit cell a=5.5144 b=5.5144 c=5.5144 alpha=60.00 beta=60.00 gamma=60.00
Atoms (fractional coordinates):
Li 0.3775 0.3775 0.3775
Zn 0.7500 0.7500 0.7500
Li 0.8676 0.3775 0.3775
Li 0.3775 0.3775 0.8676
Ca 0.0000 0.0000 0.0000
Li 0.3775 0.8676 0.3775

symmetry: F-43m (216)
total magnetic moment: 0.00 μB per cell
E: -1.91 eV per atom
E_form: 17 meV/atom


Computed, not measured: a geometry-optimized LiCaZn2 structure at the GGA-PBEsol level of DFT.

Unit cell a=4.6927 b=4.6951 c=4.6927 alpha=60.02 beta=90.00 gamma=119.98
Atoms (fractional coordinates):
Zn 0.0000 0.0000 0.0000
Li 0.7500 0.5000 0.7500
Ca 0.5000 0.0000 0.5000
Zn 0.2500 0.5000 0.2500

symmetry: F-43m (216)
offset from the most stable computed form: 0.043 eV per atom
total magnetic moment: 0.00 μB per cell
E: -1.95 eV per atom
E_form: -134 meV/atom


Computed, not measured: a geometry-optimized LiCaZn2 structure at the GGA-PBEsol level of DFT.

Unit cell a=4.3912 b=4.3912 c=5.6012 alpha=66.92 beta=66.92 gamma=60.00
Atoms (fractional coordinates):
Zn 0.1964 0.1964 0.4109
Ca 0.0000 0.0000 0.0000
Li 0.5000 0.5000 0.5000
Zn 0.8036 0.8036 0.5891

symmetry: R-3m (166)
offset from the most stable computed form: 0.024 eV per atom
total magnetic moment: 0.00 μB per cell
E: -1.97 eV per atom
E_form: -153 meV/atom


Copy entry 2 word for word.
Computed, not measured: a geometry-optimized LiCaZn structure at the GGA-PBEsol level of DFT.

Unit cell a=4.8316 b=4.8316 c=4.8316 alpha=60.00 beta=60.00 gamma=60.00
Atoms (fractional coordinates):
Ca 0.0000 0.0000 0.0000
Zn 0.2500 0.2500 0.2500
Li 0.5000 0.5000 0.5000

symmetry: F-43m (216)
offset from the most stable computed form: 0.167 eV per atom
total magnetic moment: 0.00 μB per cell
E: -1.83 eV per atom
E_form: 60 meV/atom